(1)
First-principles (GGA-PBEsol) data for CoTeW after structural relaxation, as listed in Alexandria.

a = 6.0441 Å, b = 6.0441 Å, c = 6.0441 Å
α = 90.00°, β = 90.00°, γ = 90.00°
Closest atoms and distances in Å follow each position.
Space group F-43m (No. 216)
One atom of each set of equivalent atoms:
Co (0.0000, 0.0000, 0.0000) (multiplicity 4)  4 W 2.62
Te (0.0000, 0.0000, 0.5000) (multiplicity 4)  4 W 2.62
W (0.2500, 0.2500, 0.2500) (multiplicity 4)  4 Co 2.62, 4 Te 2.62

## Properties
As for the formation energy from raw total energies: 2.29 eV/f.u. For the calculated total energy, the calculation gives -7.594 eV/atom.

=====

(2)
First-principles (GGA-PBEsol) data for CaScSi2 after structural relaxation, as listed in Alexandria.

a = 6.7854 Å, b = 6.7854 Å, c = 6.7854 Å
α = 90.00°, β = 90.00°, γ = 90.00°
Closest atoms and distances in Å follow each position.
Space group Fm-3m (No. 225)
One atom of each set of equivalent atoms:
Ca (0.0000, 0.0000, 0.0000) (multiplicity 4)  8 Si 2.94
Sc (0.0000, 0.0000, 0.5000) (multiplicity 4)  8 Si 2.94
Si (0.2500, 0.2500, 0.2500) (multiplicity 8)  4 Ca 2.94, 4 Sc 2.94

## Properties
The calculation puts the polymorph energy (0 for the lowest one) at 0.76 eV/f.u. As for the formation energy from raw total energies: -1.30 eV/f.u. For the calculated total energy, the calculation gives -5.382 eV/atom.

=====

(3)
First-principles (GGA-PBEsol) data for Ce3Sn6Ru after structural relaxation, as listed in Alexandria.

a = 4.5560 Å, b = 16.6199 Å, c = 13.1101 Å
α = 90.00°, β = 90.00°, γ = 90.00°
Closest atoms and distances in Å follow each position.
Space group Cmcm (No. 63)
One atom of each set of equivalent atoms:
Ce (0.0000, 0.1031, 0.0979) (multiplicity 8)  8 Sn 3.17-3.47, 2 Ru 3.37
Ce (0.0000, 0.1028, 0.7500) (multiplicity 4)  10 Sn 3.12-3.30, 1 Ru 3.40
Sn (0.0000, 0.2406, 0.5693) (multiplicity 8)  1 Ru 2.61
Sn (0.0000, 0.2690, 0.2500) (multiplicity 4)  2 Ru 2.61
Sn (0.0000, 0.4271, 0.0739) (multiplicity 8)  2 Sn 2.94-3.10, 4 Ce 3.24-3.28
Sn (0.0000, 0.4633, 0.7500) (multiplicity 4)  1 Ru 2.59
Ru (0.0000, 0.3072, 0.7500) (multiplicity 4)  5 Sn 2.59-2.61

## Properties
The value obtained for the formation energy is -0.545 eV per atom. For the calculated total energy, the calculation gives -6.097 eV/atom.

=====

(4)
First-principles (GGA-PBEsol) data for Ba4Na2CaTi3Si4S2O26 after structural relaxation, as listed in Alexandria.

a = 5.4380 Å, b = 7.1386 Å, c = 14.6815 Å
α = 81.06°, β = 85.13°, γ = 89.98°
Closest atoms and distances in Å follow each position.
Space group P1 (No. 1)
One atom of each set of equivalent atoms:
Ba (0.0000, 0.0000, 0.0000) (multiplicity 1)  11 O 2.66-2.92
Ba (0.0691, 0.2875, 0.6878) (multiplicity 1)  8 O 2.74-2.88
Ba (0.4809, 0.4626, 0.0876) (multiplicity 1)  8 O 2.74-2.88
Ba (0.5509, 0.7514, 0.7759) (multiplicity 1)  11 O 2.67-2.92
Na (0.2751, 0.1408, 0.3885) (multiplicity 1)  6 O 2.26-2.45
Na (0.7743, 0.8813, 0.3880) (multiplicity 1)  6 O 2.33-2.51
Ca (0.2735, 0.6004, 0.3878) (multiplicity 1)  6 O 2.24-2.42
Ti (0.0939, 0.8118, 0.5912) (multiplicity 1)  1 O 1.68
Ti (0.4562, 0.9378, 0.1845) (multiplicity 1)  1 O 1.68
Ti (0.7742, 0.3659, 0.3882) (multiplicity 1)  4 O 1.85-2.03
Si (0.5977, 0.0978, 0.5797) (multiplicity 1)  4 O 1.61-1.67
Si (0.5987, 0.5329, 0.5789) (multiplicity 1)  4 O 1.60-1.67
Si (0.9514, 0.6533, 0.1952) (multiplicity 1)  4 O 1.61-1.67
Si (0.9523, 0.2176, 0.1981) (multiplicity 1)  4 O 1.60-1.67
S (0.0207, 0.5773, 0.9109) (multiplicity 1)  4 O 1.47-1.50
S (0.5311, 0.1740, 0.8651) (multiplicity 1)  4 O 1.47-1.50
O (0.0119, 0.3753, 0.9500) (multiplicity 1)  1 S 1.47
O (0.0312, 0.3622, 0.4633) (multiplicity 1)  1 Ti 1.85
O (0.0445, 0.6074, 0.8075) (multiplicity 1)  1 S 1.49
O (0.1163, 0.8436, 0.4747) (multiplicity 1)  1 Ti 1.68
O (0.2095, 0.1361, 0.1521) (multiplicity 1)  1 Si 1.65
O (0.2109, 0.7621, 0.1484) (multiplicity 1)  1 Si 1.65
O (0.2359, 0.6723, 0.9428) (multiplicity 1)  1 S 1.50
O (0.3154, 0.0798, 0.8330) (multiplicity 1)  1 S 1.50
O (0.3391, 0.9885, 0.6263) (multiplicity 1)  1 Si 1.65
O (0.3405, 0.6139, 0.6250) (multiplicity 1)  1 Si 1.65
O (0.4337, 0.8944, 0.3010) (multiplicity 1)  1 Ti 1.68
O (0.5073, 0.1436, 0.9685) (multiplicity 1)  1 S 1.49
O (0.5165, 0.4076, 0.3136) (multiplicity 1)  1 Ti 1.85
O (0.5413, 0.3761, 0.8262) (multiplicity 1)  1 S 1.47
O (0.5843, 0.3019, 0.6223) (multiplicity 1)  2 Si 1.67
O (0.6118, 0.5665, 0.4680) (multiplicity 1)  1 Si 1.60
O (0.6142, 0.1345, 0.4687) (multiplicity 1)  1 Si 1.61
O (0.7180, 0.7630, 0.1469) (multiplicity 1)  1 Si 1.65
O (0.7188, 0.1354, 0.1515) (multiplicity 1)  1 Si 1.64
O (0.7608, 0.0785, 0.8332) (multiplicity 1)  1 S 1.50
O (0.7904, 0.6720, 0.9427) (multiplicity 1)  1 S 1.50
O (0.8308, 0.6146, 0.6262) (multiplicity 1)  1 Si 1.64
O (0.8324, 0.9880, 0.6271) (multiplicity 1)  1 Si 1.65
O (0.9359, 0.1859, 0.3090) (multiplicity 1)  1 Si 1.60
O (0.9370, 0.6179, 0.3062) (multiplicity 1)  1 Si 1.61
O (0.9655, 0.4481, 0.1536) (multiplicity 1)  2 Si 1.67

## Properties
As for the formation energy from raw total energies: -114.34 eV/f.u. For the calculated total energy, the calculation gives -7.645 eV/atom.

=====

(5)
First-principles (GGA-PBEsol) data for CdNi2As after structural relaxation, as listed in Alexandria.

a = 6.0296 Å, b = 6.0296 Å, c = 6.0296 Å
α = 90.00°, β = 90.00°, γ = 90.00°
Closest atoms and distances in Å follow each position.
Space group Fm-3m (No. 225)
One atom of each set of equivalent atoms:
Cd (0.0000, 0.0000, 0.0000) (multiplicity 4)  8 Ni 2.61
Ni (0.2500, 0.2500, 0.2500) (multiplicity 8)  4 Cd 2.61, 4 As 2.61
As (0.0000, 0.0000, 0.5000) (multiplicity 4)  8 Ni 2.61

## Properties
The value obtained for the formation energy is 0.029 eV per atom. The calculation puts the polymorph energy (0 for the lowest one) at 0.15 eV/f.u. For the calculated total energy, the calculation gives -4.625 eV/atom.

=====

(6)
First-principles (GGA-PBEsol) data for SrTiNbF2 after structural relaxation, as listed in Alexandria.

a = 4.3671 Å, b = 4.3671 Å, c = 5.0319 Å
α = 90.00°, β = 90.00°, γ = 90.00°
Closest atoms and distances in Å follow each position.
Space group P4/mmm (No. 123)
One atom of each set of equivalent atoms:
Sr (0.0000, 0.0000, 0.0000) (multiplicity 1)  4 Ti 3.09, 8 F 3.33
Ti (0.5000, 0.5000, 0.0000) (multiplicity 1)  2 Nb 2.52
Nb (0.5000, 0.5000, 0.5000) (multiplicity 1)  4 F 2.18
F (0.0000, 0.5000, 0.5000) (multiplicity 2)  2 Nb 2.18

## Properties
As for the formation energy from raw total energies: -3.69 eV/f.u. For the calculated total energy, the calculation gives -5.706 eV/atom.

=====

(7)
First-principles (GGA-PBEsol) data for Y2MgRu after structural relaxation, as listed in Alexandria.

a = 3.3937 Å, b = 3.3937 Å, c = 8.1062 Å
α = 90.00°, β = 90.00°, γ = 90.00°
Closest atoms and distances in Å follow each position.
Space group P4/mmm (No. 123)
One atom of each set of equivalent atoms:
Y (0.0000, 0.0000, 0.2005) (multiplicity 2)  4 Ru 2.90
Mg (0.5000, 0.5000, 0.5000) (multiplicity 1)  4 Mg 3.39, 8 Y 3.41
Ru (0.5000, 0.5000, 0.0000) (multiplicity 1)  8 Y 2.90

## Properties
The value obtained for the formation energy is -0.250 eV per atom. For the calculated total energy, the calculation gives -6.633 eV/atom.

=====

(8)
First-principles (GGA-PBEsol) data for MgZn2Co after structural relaxation, as listed in Alexandria.

a = 3.0127 Å, b = 3.0127 Å, c = 6.1065 Å
α = 90.00°, β = 90.00°, γ = 90.00°
Closest atoms and distances in Å follow each position.
Space group P4/mmm (No. 123)
One atom of each set of equivalent atoms:
Mg (0.0000, 0.0000, 0.0000) (multiplicity 1)  8 Zn 2.78, 4 Mg 3.01, 2 Co 3.05
Zn (0.5000, 0.5000, 0.2915) (multiplicity 2)  4 Co 2.48, 1 Zn 2.55, 4 Mg 2.78
Co (0.0000, 0.0000, 0.5000) (multiplicity 1)  8 Zn 2.48

## Properties
The value obtained for the formation energy is -0.025 eV per atom. For the calculated total energy, the calculation gives -3.179 eV/atom.

=====

(9)
First-principles (GGA-PBEsol) data for Y2Zr after structural relaxation, as listed in Alexandria.

a = 12.3838 Å, b = 3.4063 Å, c = 8.0422 Å
α = 90.00°, β = 103.66°, γ = 90.00°
Closest atoms and distances in Å follow each position.
Space group Cm (No. 8)
One atom of each set of equivalent atoms:
Y (0.0000, 0.0000, 0.0000) (multiplicity 2)  5 Zr 3.29-3.39, 7 Y 3.36-3.47
Y (0.0519, 0.0000, 0.6088) (multiplicity 2)  8 Y 3.30-3.43, 4 Zr 3.53-3.55
Y (0.1669, 0.5000, 0.3235) (multiplicity 2)  4 Zr 3.23-3.48, 8 Y 3.38-3.43
Y (0.3248, 0.0000, 0.6661) (multiplicity 2)  9 Y 3.30-3.47, 3 Zr 3.32-3.48
Zr (0.2286, 0.5000, 0.9554) (multiplicity 2)  4 Zr 3.20-3.41, 8 Y 3.23-3.55
Zr (0.3791, 0.0000, 0.2608) (multiplicity 2)  4 Zr 3.20-3.41, 8 Y 3.27-3.53

## Properties
The value obtained for the formation energy is 0.093 eV per atom. The calculation puts the polymorph energy (0 for the lowest one) at 0.03 eV/f.u. For the calculated total energy, the calculation gives -7.485 eV/atom.

=====

(10)
First-principles (GGA-PBEsol) data for CuIr2W after structural relaxation, as listed in Alexandria.

a = 9.0244 Å, b = 2.7029 Å, c = 4.6608 Å
α = 90.00°, β = 99.75°, γ = 90.00°
Closest atoms and distances in Å follow each position.
Space group Cm (No. 8)
One atom of each set of equivalent atoms:
Cu (0.0000, 0.0000, 0.0000) (multiplicity 2)  7 Ir 2.62-2.73, 2 Cu 2.70, 3 W 2.70-2.81
Ir (0.2519, 0.5000, 0.2201) (multiplicity 2)  3 Cu 2.62-2.69, 4 W 2.66-2.73, 5 Ir 2.68-2.91
Ir (0.4883, 0.0000, 0.5040) (multiplicity 2)  3 W 2.61-2.70, 4 Cu 2.66-2.73, 5 Ir 2.68-2.91
W (0.2409, 0.0000, 0.7253) (multiplicity 2)  7 Ir 2.61-2.73, 2 W 2.70, 3 Cu 2.70-2.81

## Properties
The value obtained for the formation energy is 0.016 eV per atom. The calculation puts the polymorph energy (0 for the lowest one) at 0.00 eV/f.u. For the calculated total energy, the calculation gives -9.431 eV/atom.

=====

(11)
First-principles (GGA-PBEsol) data for AgTe2 after structural relaxation, as listed in Alexandria.

a = 4.1204 Å, b = 4.0676 Å, c = 9.8414 Å
α = 90.00°, β = 99.57°, γ = 90.00°
Closest atoms and distances in Å follow each position.
Space group P2_1/m (No. 11)
One atom of each set of equivalent atoms:
Ag (0.2454, 0.2500, 0.0015) (multiplicity 2)  4 Te 2.80-2.84, 4 Ag 2.86-2.93
Te (0.0086, 0.7500, 0.6023) (multiplicity 2)  2 Te 2.86
Te (0.3350, 0.7500, 0.2005) (multiplicity 2)  4 Ag 2.80-2.84

## Properties
As for the formation energy from raw total energies: 0.18 eV/f.u. For the calculated total energy, the calculation gives -3.395 eV/atom.

=====

(12)
First-principles (GGA-PBEsol) data for CsSc3Ga after structural relaxation, as listed in Alexandria.

a = 5.1562 Å, b = 5.1562 Å, c = 5.1562 Å
α = 90.00°, β = 90.00°, γ = 90.00°
Closest atoms and distances in Å follow each position.
Space group Pm-3m (No. 221)
One atom of each set of equivalent atoms:
Cs (0.0000, 0.0000, 0.0000) (multiplicity 1)  6 Sc 2.58
Sc (0.0000, 0.0000, 0.5000) (multiplicity 3)  2 Cs 2.58
Ga (0.5000, 0.5000, 0.5000) (multiplicity 1)  12 Sc 3.65

## Properties
The value obtained for the formation energy is 1.356 eV per atom. For the calculated total energy, the calculation gives -3.464 eV/atom.

=====

(13)
First-principles (GGA-PBEsol) data for KSb2Ru after structural relaxation, as listed in Alexandria.

a = 4.5383 Å, b = 3.9103 Å, c = 14.8489 Å
α = 90.00°, β = 90.00°, γ = 90.00°
Closest atoms and distances in Å follow each position.
Space group Amm2 (No. 38)
One atom of each set of equivalent atoms:
K (0.0000, 0.0000, 0.0000) (multiplicity 2)  6 Sb 3.53-3.54, 2 K 3.91
Sb (0.0000, 0.0000, 0.3010) (multiplicity 2)  2 Ru 2.51
Sb (0.5000, 0.0000, 0.6257) (multiplicity 2)  2 Ru 2.48
Ru (0.5000, 0.0000, 0.2279) (multiplicity 2)  4 Sb 2.48-2.51

## Properties
The calculation puts the polymorph energy (0 for the lowest one) at 1.29 eV/f.u. As for the formation energy from raw total energies: 0.65 eV/f.u. For the calculated total energy, the calculation gives -4.942 eV/atom.

=====

(14)
First-principles (GGA-PBEsol) data for Sc2CoRe after structural relaxation, as listed in Alexandria.

a = 2.9619 Å, b = 2.9619 Å, c = 24.9929 Å
α = 90.00°, β = 90.00°, γ = 120.00°
Closest atoms and distances in Å follow each position.
Space group R-3m (No. 166, hexagonal axes)
One atom of each set of equivalent atoms:
Sc (0.0000, 0.0000, 0.2439) (multiplicity 6)  3 Co 2.58, 3 Re 2.81
Co (0.0000, 0.0000, 0.5000) (multiplicity 3)  6 Sc 2.58
Re (0.0000, 0.0000, 0.0000) (multiplicity 3)  6 Sc 2.81, 6 Re 2.96

## Properties
The value obtained for the formation energy is 0.184 eV per atom. For the calculated total energy, the calculation gives -8.385 eV/atom.